1.
This record from the Alexandria database describes a relaxed structure of ScCrHg. The functional is PBE.

```
data_ScCrHg
_chemical_formula_sum 'Sc2 Cr2 Hg2'
_symmetry_space_group_name_H-M 'I 4 m m'
_symmetry_Int_Tables_number 107
_symmetry_space_group_name_Hall 'I 4 -2'
_cell_length_a 3.5906
_cell_length_b 3.5906
_cell_length_c 9.1896
_cell_angle_alpha 90.00
_cell_angle_beta 90.00
_cell_angle_gamma 90.00
loop_
_atom_site_label
_atom_site_type_symbol
_atom_site_fract_x
_atom_site_fract_y
_atom_site_fract_z
_atom_site_occupancy
Sc1 Sc 0.0000 0.0000 0.0000 1
Cr1 Cr 0.0000 0.0000 0.6577 1
Hg1 Hg 0.0000 0.0000 0.3237 1
```

## Properties
Uncorrected energy (eV for the cell shown): -31.9
Relative energy among the computed polymorphs (meV/atom): 0

2.
This record from the Alexandria database describes a relaxed structure of BaErZnHg. The functional is PBE.

```
data_BaErZnHg
_chemical_formula_sum 'Ba4 Er4 Zn4 Hg4'
_symmetry_space_group_name_H-M 'F -4 3 m'
_symmetry_Int_Tables_number 216
_symmetry_space_group_name_Hall 'F -4 2 3'
_cell_length_a 7.7690
_cell_length_b 7.7690
_cell_length_c 7.7690
_cell_angle_alpha 90.00
_cell_angle_beta 90.00
_cell_angle_gamma 90.00
loop_
_atom_site_label
_atom_site_type_symbol
_atom_site_fract_x
_atom_site_fract_y
_atom_site_fract_z
_atom_site_occupancy
Ba1 Ba 0.0000 0.0000 0.0000 1
Er1 Er 0.0000 0.0000 0.5000 1
Zn1 Zn 0.2500 0.2500 0.2500 1
Hg1 Hg 0.2500 0.2500 0.7500 1
```

## Properties
Uncorrected energy (eV for the cell shown): -35.5

3.
This record from the Alexandria database describes a relaxed structure of KTiAl. The functional is PBE.

```
data_KTiAl
_chemical_formula_sum 'K2 Ti2 Al2'
_symmetry_space_group_name_H-M 'P 63/m m c'
_symmetry_Int_Tables_number 194
_symmetry_space_group_name_Hall '-P 6c 2c'
_cell_length_a 5.3084
_cell_length_b 5.3084
_cell_length_c 5.7779
_cell_angle_alpha 90.00
_cell_angle_beta 90.00
_cell_angle_gamma 120.00
loop_
_atom_site_label
_atom_site_type_symbol
_atom_site_fract_x
_atom_site_fract_y
_atom_site_fract_z
_atom_site_occupancy
K1 K 0.0000 0.0000 0.0000 1
Ti1 Ti 0.3333 0.6667 0.2500 1
Al1 Al 0.3333 0.6667 0.7500 1
```

## Properties
Uncorrected energy (eV for the cell shown): -21.2
Relative energy among the computed polymorphs (meV/atom): 637

Which size of the total moment belongs to each record? In order, 1.30, 0.00, 0.00 μB/atom.
Which ΔH_f (0 K) belongs to each record? In order, 0.0987, -0.2042, 0.7083 eV/atom.